Record 1
The following is a PBE calculation of a relaxed structure of ScMnFe2As, from Alexandria.

Cell: 4.1877 4.8645 4.1877 Å, 90.00 90.00 90.00°
Closest atoms and distances in Å follow each position.
Sites, in units of the cell vectors:
1 Mn 0.0000 0.0000 0.0000  4 Fe 2.09
2 Fe 0.5000 0.0000 0.0000  2 Mn 2.09
3 Fe 0.0000 0.0000 0.5000  2 Mn 2.09
4 Sc 0.0000 0.5000 0.0000  2 Mn 2.43
5 As 0.5000 0.5000 0.5000  4 Sc 2.96, 8 Fe 3.21

## Properties
The energy is -33.93 eV for the cell shown. The value obtained for the formation energy from the elements is 0.63 eV per atom. As for the calculated density: 5.58 g/cm3.

Record 2
The following is a PBE calculation of a relaxed structure of MnFeAsSe2, from Alexandria.

Cell: 4.6293 4.6293 4.4808 Å, 90.00 90.00 90.00°
Closest atoms and distances in Å follow each position.
Sites, in units of the cell vectors:
1 Fe 0.5000 0.5000 0.5000  8 Se 3.22, 4 As 3.27
2 As 0.0000 0.0000 0.5000  2 Mn 2.24
3 Mn 0.0000 0.0000 0.0000  2 As 2.24, 4 Se 2.31
4 Se 0.0000 0.5000 0.0000  2 Mn 2.31
5 Se 0.5000 0.0000 0.0000  2 Mn 2.31

## Properties
The formation energy (no corrections) comes out at 0.986 eV/atom. The energy is -24.32 eV for the cell shown. Its offset from the most stable computed form is 10 meV per atom. As for the calculated density: 5.94 g/cm3.

Record 3
The following is a PBE calculation of a relaxed structure of MnFeAsSe2, from Alexandria.

Cell: 4.7287 4.7287 4.3349 Å, 90.00 90.00 90.00°
Closest atoms and distances in Å follow each position.
Sites, in units of the cell vectors:
1 As 0.0000 0.0000 0.5000  2 Fe 2.17
2 Se 0.5000 0.0000 0.0000  2 Fe 2.36
3 Se 0.0000 0.5000 0.0000  2 Fe 2.36
4 Mn 0.5000 0.5000 0.5000  8 Se 3.21, 4 As 3.34
5 Fe 0.0000 0.0000 0.0000  2 As 2.17, 4 Se 2.36

## Properties
The formation energy (no corrections) comes out at 0.976 eV/atom. The energy is -24.37 eV for the cell shown. Its offset from the most stable computed form is 0 meV per atom. As for the calculated density: 5.89 g/cm3.

calculated density of number 1 (ScMnFe2As)?
5.58 g/cm3